[1]
SrTiAu2O6 | GGA-PBE | optimized geometry

Lattice parameters (Å, degrees): 7.4444 7.3518 7.3518 56.60 67.36 67.36
Closest atoms and distances in Å follow each position.
Sites, in units of the cell vectors:
O  0.4586  0.2992  0.5745  1 Ti 1.85, 1 Au 2.06
Ti  0.7500  0.8103  0.1897  4 O 1.84-1.85
O  0.8634  0.1741  0.3943  2 Au 2.01-2.07
Sr  0.7500  0.3066  0.6934  8 O 2.61-2.70
O  0.2707  0.1122  0.0866  1 Ti 1.84, 1 Au 2.02
O  0.7707  0.0866  0.1122  1 Ti 1.84, 1 Au 2.02
Au  0.8882  0.6874  0.7709  4 O 2.01-2.07
Sr  0.2500  0.6934  0.3066  8 O 2.61-2.70
O  0.2293  0.9134  0.8878  1 Ti 1.84, 1 Au 2.02
O  0.7293  0.8878  0.9134  1 Ti 1.84, 1 Au 2.02
O  0.9586  0.5745  0.2992  1 Ti 1.85, 1 Au 2.06
O  0.5414  0.7008  0.4255  1 Ti 1.85, 1 Au 2.06
Ti  0.2500  0.1897  0.8103  4 O 1.84-1.85
O  0.1366  0.8259  0.6057  2 Au 2.01-2.07
O  0.0414  0.4255  0.7008  1 Ti 1.85, 1 Au 2.06
O  0.6366  0.6057  0.8259  2 Au 2.01-2.07
O  0.3634  0.3943  0.1741  2 Au 2.01-2.07
Au  0.6118  0.2291  0.3126  4 O 2.01-2.07
Au  0.1118  0.3126  0.2291  4 O 2.01-2.07
Au  0.3882  0.7709  0.6874  4 O 2.01-2.07

Computed properties:
Its space-group type is C2/c.

=====

[2]
Sr2TlAuO6 | GGA-PBE | optimized geometry

Lattice parameters (Å, degrees): 4.3010 5.9486 5.9486 90.00 90.00 90.00
Closest atoms and distances in Å follow each position.
Sites, in units of the cell vectors:
Sr  0.0660  0.5000  0.0000  4 O 2.63
Sr  0.0660  0.0000  0.5000  4 O 2.63
O  0.1124  0.5000  0.5000  2 Tl 2.11-2.19
O  0.6979  0.7613  0.2387  1 Au 2.02, 1 Tl 2.24
O  0.6979  0.2387  0.7613  1 Au 2.02, 1 Tl 2.24
Au  0.6477  0.0000  0.0000  6 O 2.02-2.21
O  0.1605  0.0000  0.0000  2 Au 2.10-2.21
Tl  0.6024  0.5000  0.5000  6 O 2.11-2.24
O  0.6979  0.7613  0.7613  1 Au 2.02, 1 Tl 2.24
O  0.6979  0.2387  0.2387  1 Au 2.02, 1 Tl 2.24

Computed properties:
Its space-group type is P4mm.

=====

[3]
SrTlAuO4 | GGA-PBE | optimized geometry

Lattice parameters (Å, degrees): 6.2962 6.2962 7.0069 90.00 90.00 119.25
Closest atoms and distances in Å follow each position.
Sites, in units of the cell vectors:
O  0.7929  0.7681  0.7500  1 Au 2.12, 1 Tl 2.26
Au  0.8653  0.1347  0.7500  4 O 2.12-2.15
Tl  0.8238  0.1762  0.2500  4 O 2.20-2.26
O  0.7294  0.2706  0.5273  1 Au 2.15, 1 Tl 2.20
O  0.7681  0.7929  0.2500  1 Au 2.12, 1 Tl 2.26
O  0.2706  0.7294  0.4727  1 Au 2.15, 1 Tl 2.20
Tl  0.1762  0.8238  0.7500  4 O 2.20-2.26
O  0.2071  0.2319  0.2500  1 Au 2.12, 1 Tl 2.26
Sr  0.5000  0.5000  0.5000  6 O 2.50-2.51
O  0.2706  0.7294  0.0273  1 Au 2.15, 1 Tl 2.20
O  0.7294  0.2706  0.9727  1 Au 2.15, 1 Tl 2.20
Au  0.1347  0.8653  0.2500  4 O 2.12-2.15
Sr  0.5000  0.5000  0.0000  6 O 2.50-2.51
O  0.2319  0.2071  0.7500  1 Au 2.12, 1 Tl 2.26

Computed properties:
Its space-group type is Cmcm.

=====

[4]
Sr2TlAuO5 | GGA-PBE | optimized geometry

Lattice parameters (Å, degrees): 3.5353 7.2258 11.3294 90.00 90.00 104.16
Closest atoms and distances in Å follow each position.
Sites, in units of the cell vectors:
Au  0.4705  0.9409  0.4428  3 O 2.05-2.09
O  0.0665  0.1330  0.0763  1 Tl 2.20, 2 Au 2.38, 1 Sr 2.42
O  0.9335  0.8670  0.5763  1 Tl 2.20, 2 Au 2.38, 1 Sr 2.42
O  0.6150  0.2299  0.4887  1 Au 2.09
O  0.6729  0.3458  0.8928  1 Au 2.09
O  0.3850  0.7701  0.9887  1 Au 2.09
Sr  0.8572  0.7144  0.7952  8 O 2.55-2.84
O  0.2625  0.5250  0.6606  2 Tl 2.35, 1 Sr 2.45
Tl  0.7817  0.5634  0.5261  6 O 2.20-2.41
Sr  0.0880  0.1759  0.6721  4 O 2.42-2.52
Sr  0.1428  0.2856  0.2952  8 O 2.55-2.84
O  0.3271  0.6542  0.3928  1 Au 2.09
O  0.5137  0.0274  0.2694  1 Au 2.05
Au  0.5295  0.0591  0.9428  3 O 2.05-2.09
Tl  0.2183  0.4366  0.0261  6 O 2.20-2.41
O  0.7375  0.4750  0.1606  2 Tl 2.35, 1 Sr 2.45
O  0.4863  0.9726  0.7694  1 Au 2.05
Sr  0.9120  0.8241  0.1721  4 O 2.42-2.52

Computed properties:
Its space-group type is Cmc2_1.

=====

Result set for E_form (uncorrected): -1467 -1172 -781 -1372 meV per atom, one per record in the order listed.